# 1
Here is a geometry-optimized Nd2Dy6Ho3Th structure from Alexandria. Energies are from GGA-PBE.

POSCAR file:
```
Nd2Dy6Ho3Th
1.0
6.1818 0.0026 0.0148
-3.0872 5.3558 0.0148
-1.0563 -1.8289 11.6022
Nd Dy Ho Th
2 6 3 1
Cartesian
0.0036 3.5708 0.0148
3.0911 1.7876 0.0148
2.0723 3.5882 2.9453
0.0047 3.5340 8.7026
-0.0339 -0.0587 8.6865
3.0587 1.7702 8.7026
2.0338 -0.0045 2.9292
-1.0203 1.7593 2.9292
4.1054 -0.0176 5.8159
-2.0670 3.5471 5.8159
1.0192 1.7647 5.8159
0.0000 0.0000 0.0000
```

Properties
Crystal system: monoclinic


# 2
Here is a geometry-optimized Nd3Dy6HoTh2 structure from Alexandria. Energies are from GGA-PBE.

POSCAR file:
```
Nd3Dy6HoTh2
1.0
6.2085 0.0013 0.0015
-3.1016 5.3783 0.0015
-1.0384 -1.7979 11.6367
Nd Th Ho Dy
3 2 1 6
Cartesian
4.1408 -0.0033 5.8198
1.0343 1.7908 5.8198
-2.0723 3.5850 5.8198
0.0020 3.5858 0.0015
3.1049 1.7938 0.0015
0.0000 0.0000 0.0000
2.0931 -0.0008 2.8473
0.0109 0.0188 8.7883
-0.0246 3.5824 8.7922
3.1153 1.7690 8.7922
2.0577 3.5628 2.8513
-1.0467 1.8126 2.8473
```

Properties
Crystal system: monoclinic


# 3
Here is a geometry-optimized NdDy5HoTh2 structure from Alexandria. Energies are from GGA-PBE.

POSCAR file:
```
NdDy5HoTh2
1.0
-5.1134 2.4208 -6.6474
-6.4255 -5.0210 3.1142
3.1255 7.3004 5.9856
Dy Nd Th Ho
10 2 4 2
Cartesian
-9.4469 -0.5826 -1.0672
-6.3578 -1.3770 1.9985
-6.6579 2.1284 -3.1750
-5.7694 -1.3001 -1.7666
1.0335 5.2829 3.5196
-3.5688 1.3340 -0.1094
-1.7555 2.5718 5.6275
-4.8446 3.3662 2.5618
-2.0556 6.0773 0.4540
0.0000 0.0000 0.0000
-4.5347 0.4897 3.6666
-3.8787 4.2106 -1.2142
-7.6008 -3.4993 0.2135
-3.0557 -1.6196 0.3885
-3.9381 0.8991 -3.7467
-8.4832 -0.9806 -3.9217
-7.0914 1.7001 0.3429
-1.3220 3.0002 2.1095
```

Properties
Crystal system: tetragonal


# 4
Here is a geometry-optimized Nd3Dy2Ho6Th structure from Alexandria. Energies are from GGA-PBE.

POSCAR file:
```
Nd3Dy2Ho6Th
1.0
-4.1227 3.6950 -2.7781
4.4383 -2.7452 -3.3365
-7.0770 -9.4305 0.2651
Th Nd Ho Dy
1 3 6 2
Cartesian
0.0000 0.0000 0.0000
-3.3807 -4.2404 -2.9248
-0.5316 -6.3837 -3.1106
-6.2297 -2.0971 -2.7389
-6.5085 -5.3304 -4.3088
-0.2529 -3.1503 -1.5407
-1.5063 -1.6089 -4.5379
-3.0774 -1.0255 -1.3565
-5.2551 -6.8719 -1.3116
-3.6839 -7.4553 -4.4930
-1.2693 1.5484 -2.9642
1.5849 -0.5987 -3.1504
```

Properties
Crystal system: monoclinic


# 5
Here is a geometry-optimized NdDyHo3Th structure from Alexandria. Energies are from GGA-PBE.

POSCAR file:
```
NdDyHo3Th
1.0
5.0498 0.0000 0.0000
0.0000 7.8643 -1.2126
0.0000 -3.2759 10.1966
Th Nd Dy Ho
2 2 2 6
Cartesian
1.2625 -1.0768 6.2072
3.7874 5.6652 2.7768
1.2625 -0.0128 2.8374
3.7874 4.6012 6.1466
1.2625 4.5025 0.5435
3.7874 0.0859 8.4405
1.2625 2.2980 7.3241
3.7874 6.7319 -0.6249
1.2625 3.4639 3.8867
1.2625 -2.1435 9.6089
3.7874 1.1245 5.0973
3.7874 2.2904 1.6600
```

Properties
Crystal system: monoclinic


# 6
Here is a geometry-optimized Nd4DyHo2Th structure from Alexandria. Energies are from GGA-PBE.

POSCAR file:
```
Nd4DyHo2Th
1.0
5.1080 -0.0001 0.0000
0.0000 4.9560 1.1988
0.0000 2.5490 11.1519
Nd Th Dy Ho
4 1 1 2
Cartesian
2.5540 3.1562 8.6412
0.0000 1.8738 3.1018
2.5540 4.3488 3.7095
5.1080 5.6312 9.2489
0.0000 3.7525 6.1754
2.5540 2.4780 0.5994
0.0000 2.5491 11.1519
2.5540 1.2745 5.5759
```

Properties
Crystal system: tetragonal


# 7
Here is a geometry-optimized NdDy4Ho2Th structure from Alexandria. Energies are from GGA-PBE.

POSCAR file:
```
NdDy4Ho2Th
1.0
-3.7511 3.2229 1.0449
-3.1499 -2.7548 -2.8106
-5.5809 -8.2013 5.2615
Dy Ho Th Nd
4 2 1 1
Cartesian
-5.9426 0.4640 1.6872
-6.5393 -8.1972 1.8086
-6.8387 -5.2051 3.7301
-5.6431 -2.5281 -0.2343
-5.5809 -8.2013 5.2615
-4.6660 -2.4892 3.1532
-4.3654 -5.4781 1.2255
-9.0314 -7.9672 4.3786
```

Properties
Crystal system: orthorhombic


# 8
Here is a geometry-optimized NdDy3Ho6Th2 structure from Alexandria. Energies are from GGA-PBE.

POSCAR file:
```
NdDy3Ho6Th2
1.0
6.1676 0.0015 -0.0041
-3.0810 5.3429 -0.0041
-1.0223 -1.7702 11.5332
Dy Ho Th Nd
3 6 2 1
Cartesian
-2.0543 3.5696 5.7625
1.0321 1.7871 5.7625
4.1186 0.0046 5.7625
-1.0377 1.8113 2.8689
0.0180 0.0312 8.6593
2.0875 0.0064 2.8689
-0.0233 3.5678 8.6561
2.0462 3.5430 2.8657
3.1019 1.7629 8.6561
0.0012 3.5628 -0.0041
3.0854 1.7816 -0.0041
0.0000 0.0000 0.0000
```

Properties
Crystal system: monoclinic


# 9
Here is a geometry-optimized Nd3DyHo6Th2 structure from Alexandria. Energies are from GGA-PBE.

POSCAR file:
```
Nd3DyHo6Th2
1.0
6.1990 0.0009 0.0013
-3.0972 5.3698 0.0013
-1.0376 -1.7966 11.5860
Ho Nd Dy Th
6 3 1 2
Cartesian
2.0543 3.5570 2.8427
2.0911 -0.0006 2.8372
0.0098 0.0170 8.7460
-1.0455 1.8109 2.8372
3.1097 1.7631 8.7515
-0.0270 3.5746 8.7515
1.0321 1.7870 5.7943
4.1342 -0.0046 5.7943
-2.0701 3.5786 5.7943
0.0000 0.0000 0.0000
0.0026 3.5795 0.0013
3.0991 1.7911 0.0013
```

Properties
Crystal system: monoclinic


# 10
Here is a geometry-optimized Nd6Dy3Ho2Th structure from Alexandria. Energies are from GGA-PBE.

POSCAR file:
```
Nd6Dy3Ho2Th
1.0
-2.0110 -3.1874 -5.0007
-2.6735 -0.9331 5.5850
-6.2170 9.8974 -2.4968
Nd Dy Th Ho
6 3 1 2
Cartesian
-5.8239 6.4183 -1.7313
-8.0773 3.9612 -3.1826
-2.6054 1.0715 -2.2247
-2.8241 1.8157 1.2700
-8.2960 4.7054 0.3121
-5.0775 -0.6414 -0.1812
-5.6714 3.6396 2.5707
-5.4507 2.8885 -0.9563
-5.2300 2.1374 -4.4832
0.0000 0.0000 0.0000
-2.4527 -1.6845 2.0566
-2.2318 -2.4360 -1.4723
```

Properties
Crystal system: monoclinic


# 11
Here is a geometry-optimized Nd2DyHo4Th structure from Alexandria. Energies are from GGA-PBE.

POSCAR file:
```
Nd2DyHo4Th
1.0
5.0915 0.0000 0.0000
0.0000 4.9158 1.2551
0.0001 2.4385 10.9294
Ho Dy Nd Th
4 1 2 1
Cartesian
2.5458 4.2874 3.7038
0.0001 5.5234 9.1092
2.5458 3.0669 8.4808
5.0915 1.8309 3.0753
2.5458 4.8964 11.5570
2.5458 1.2192 5.4647
0.0001 2.4385 10.9294
0.0001 3.6771 6.0923
```

Properties
Crystal system: monoclinic


# 12
Here is a geometry-optimized Nd2DyHoTh structure from Alexandria. Energies are from GGA-PBE.

POSCAR file:
```
Nd2DyHoTh
1.0
-4.5818 1.5058 4.2125
-0.6439 -8.1577 2.2157
4.4396 0.8263 4.5334
Nd Th Dy Ho
4 2 2 2
Cartesian
-0.4024 -1.8762 3.0479
-0.6716 -4.9975 3.8708
-0.3837 -3.9494 7.9137
-0.1145 -0.8281 7.0908
-1.4398 1.0445 3.4776
1.2977 1.2876 5.2684
0.0000 0.0000 0.0000
2.2198 0.4132 2.2667
2.1432 -3.1750 5.3028
-2.9293 -2.6506 5.6588
```

Properties
Crystal system: monoclinic


DOS(E_F) values, unit states/eV per cell, following the record order: 15.79; 15.88; 24.11; 15.41; 16.93; 11.46; 11.36; 16.63; 15.62; 16.28; 11.03; 13.97.
Total moment values, unit Bohr magnetons per cell, following the record order: 0.00; 0.00; 0.00; 0.00; 0.00; 0.00; 0.00; 0.00; 0.00; 0.00; 0.00; 0.00.
Calculated total energy values, unit eV/atom, following the record order: -4.828; -5.092; -4.914; -4.846; -5.056; -4.994; -4.938; -5.043; -5.082; -4.884; -4.951; -4.918.